(1)
ZrVGa2 | Alexandria via LeMat-Bulk | PBE | optimized geometry; space group = I-42d; uncorrected energy = -0.421 Ry per atom; formation energy from the elements = 201.5 meV per atom; excess energy over the best structure of this formula in the dataset = 2.308 eV/f.u.
1.0
-3.434 0.392 1.789
-0.983 -3.602 -1.099
1.650 -5.155 8.531
Zr Ga V
2 4 2
Direct
0.750 0.250 0.500
0.000 0.000 0.000
0.375 0.399 0.750
0.601 0.125 0.250
0.875 0.851 0.750
0.149 0.625 0.250
0.250 0.750 0.500
0.500 0.500 0.000

(2)
SmHoTlPt | Alexandria via LeMat-Bulk | PBE | optimized geometry; space group = F-43m; uncorrected energy = -0.374 Ry per atom; formation energy from the elements = -664.4 meV per atom
1.0
5.193 0.000 0.000
2.597 4.497 0.000
2.597 1.499 4.240
Ho Tl Sm Pt
1 1 1 1
Direct
0.000 0.000 0.000
0.250 0.250 0.250
0.500 0.500 0.500
0.750 0.750 0.750

(3)
TlRh4 | Alexandria via LeMat-Bulk | PBE | optimized geometry; space group = I4/mmm; uncorrected energy = -0.443 Ry per atom; formation energy from the elements = 320.5 meV per atom; excess energy over the best structure of this formula in the dataset = 1.056 eV/f.u.
1.0
-1.837 1.837 6.356
1.837 -1.837 6.356
1.837 1.837 -6.356
Tl Rh
1 4
Direct
0.000 0.000 0.000
0.250 0.750 0.500
0.399 0.399 0.000
0.750 0.250 0.500
0.601 0.601 0.000

(4)
Co2MoPd2 | Alexandria via LeMat-Bulk | PBE | optimized geometry; space group = P4/mbm; uncorrected energy = -0.503 Ry per atom; formation energy from the elements = 248.1 meV per atom; excess energy over the best structure of this formula in the dataset = 0.000 eV/f.u.
1.0
-4.574 0.895 3.916
-1.511 -5.882 -0.422
2.307 -0.799 2.877
Pd Co Mo
4 4 2
Direct
0.332 0.168 0.500
0.668 0.832 0.500
0.832 0.332 0.500
0.168 0.668 0.500
0.369 0.869 0.000
0.869 0.631 0.000
0.131 0.369 0.000
0.631 0.131 0.000
0.500 0.500 0.000
0.000 0.000 0.000

Repeat the first record exactly.
ZrVGa2 | Alexandria via LeMat-Bulk | PBE | optimized geometry; space group = I-42d; uncorrected energy = -0.421 Ry per atom; formation energy from the elements = 201.5 meV per atom; excess energy over the best structure of this formula in the dataset = 2.308 eV/f.u.
1.0
-3.434 0.392 1.789
-0.983 -3.602 -1.099
1.650 -5.155 8.531
Zr Ga V
2 4 2
Direct
0.750 0.250 0.500
0.000 0.000 0.000
0.375 0.399 0.750
0.601 0.125 0.250
0.875 0.851 0.750
0.149 0.625 0.250
0.250 0.750 0.500
0.500 0.500 0.000

Copy entry 2 word for word.
SmHoTlPt | Alexandria via LeMat-Bulk | PBE | optimized geometry; space group = F-43m; uncorrected energy = -0.374 Ry per atom; formation energy from the elements = -664.4 meV per atom
1.0
5.193 0.000 0.000
2.597 4.497 0.000
2.597 1.499 4.240
Ho Tl Sm Pt
1 1 1 1
Direct
0.000 0.000 0.000
0.250 0.250 0.250
0.500 0.500 0.500
0.750 0.750 0.750

Q: The highest formation energy from the elements belongs to which entry?
A: TlRh4